Compound: LiThScFe
Source: Alexandria
Functional: PBE
Structure: relaxed

## Properties
Calculated formation energy = 18.6 kJ/mol of formula units
N(E_F) = 1.149 states/eV/atom
Raw total energy = -5.98 eV per atom
V = 19.35 Å³ per atom
Space-group type = F-43m, No. 216

extended XYZ file:
```
16
Lattice="6.765 0.000 0.000 0.000 6.765 0.000 0.000 0.000 6.765" Properties=species:S:1:pos:R:3 pbc="T T T"
Li 0.000 0.000 0.000
Li 0.000 3.382 3.382
Li 3.382 0.000 3.382
Li 3.382 3.382 0.000
Th 1.691 1.691 5.074
Th 1.691 5.074 1.691
Th 5.074 1.691 1.691
Th 5.074 5.074 5.074
Sc 1.691 1.691 1.691
Sc 1.691 5.074 5.074
Sc 5.074 1.691 5.074
Sc 5.074 5.074 1.691
Fe 0.000 0.000 3.382
Fe 0.000 3.382 0.000
Fe 3.382 0.000 0.000
Fe 3.382 3.382 3.382
```

---

Compound: LiYScFe
Source: Alexandria
Functional: PBE
Structure: relaxed

## Properties
Calculated formation energy = 27.2 kJ/mol of formula units
N(E_F) = 0.763 states/eV/atom
Raw total energy = -5.72 eV per atom
V = 18.49 Å³ per atom
Space-group type = F-43m, No. 216

extended XYZ file:
```
16
Lattice="6.663 0.000 0.000 0.000 6.663 0.000 0.000 0.000 6.663" Properties=species:S:1:pos:R:3 pbc="T T T"
Li 0.000 0.000 0.000
Li 0.000 3.331 3.331
Li 3.331 0.000 3.331
Li 3.331 3.331 0.000
Y 1.666 1.666 1.666
Y 1.666 4.997 4.997
Y 4.997 1.666 4.997
Y 4.997 4.997 1.666
Sc 1.666 1.666 4.997
Sc 1.666 4.997 1.666
Sc 4.997 1.666 1.666
Sc 4.997 4.997 4.997
Fe 0.000 0.000 3.331
Fe 0.000 3.331 0.000
Fe 3.331 0.000 0.000
Fe 3.331 3.331 3.331
```

---

Compound: LiYSc2Fe
Source: Alexandria
Functional: PBE
Structure: relaxed

## Properties
Calculated formation energy = 50.1 kJ/mol of formula units
N(E_F) = 0.763 states/eV/atom
Raw total energy = -5.80 eV per atom
V = 24.98 Å³ per atom
Space-group type = P4/mmm, No. 123

extended XYZ file:
```
5
Lattice="4.882 0.000 0.000 0.000 4.882 0.000 0.000 0.000 5.239" Properties=species:S:1:pos:R:3 pbc="T T T"
Li 0.000 0.000 0.000
Y 2.441 2.441 0.000
Sc 0.000 2.441 2.620
Sc 2.441 0.000 2.620
Fe 2.441 2.441 2.620
```

---

Compound: LiFe4Se
Source: Alexandria
Functional: PBE
Structure: relaxed

## Properties
N(E_F) = 1.008 states/eV/atom
E_form (uncorrected) = 294 meV per atom
Raw total energy = -6.25 eV per atom
V = 13.57 Å³ per atom
Space-group type = F-43m, No. 216

extended XYZ file:
```
6
Lattice="0.000 3.440 3.440 3.440 0.000 3.440 3.440 3.440 0.000" Properties=species:S:1:pos:R:3 pbc="T T T"
Li 0.000 0.000 0.000
Fe 2.571 2.571 2.571
Fe 4.309 4.309 2.571
Fe 4.309 2.571 4.309
Fe 2.571 4.309 4.309
Se 5.160 5.160 5.160
```

---

Compound: Li2FeSe2
Source: Alexandria
Functional: PBE
Structure: relaxed

## Properties
N(E_F) = 0.812 states/eV/atom
E_form (uncorrected) = -575 meV per atom
Raw total energy = -4.43 eV per atom
V = 17.33 Å³ per atom
Space-group type = P4/mbm, No. 127

extended XYZ file:
```
10
Lattice="6.773 0.000 0.000 0.000 6.773 0.000 0.000 0.000 3.778" Properties=species:S:1:pos:R:3 pbc="T T T"
Li 0.955 2.431 0.000
Li 2.431 5.818 0.000
Li 4.342 0.955 0.000
Li 5.818 4.342 0.000
Fe 0.000 0.000 1.889
Fe 3.387 3.387 1.889
Se 1.192 4.579 1.889
Se 2.195 1.192 1.889
Se 4.579 5.581 1.889
Se 5.581 2.195 1.889
```

---

Compound: Li3FeSe
Source: Alexandria
Functional: PBE
Structure: relaxed

## Properties
N(E_F) = 0.040 states/eV/atom
E_form (uncorrected) = 387 meV per atom
Distance to the lowest polymorph of the same formula = 0.386 eV/atom
Raw total energy = -3.15 eV per atom
V = 21.04 Å³ per atom
Space-group type = Pm-3m, No. 221

extended XYZ file:
```
5
Lattice="4.721 0.000 0.000 0.000 4.721 0.000 0.000 0.000 4.721" Properties=species:S:1:pos:R:3 pbc="T T T"
Li 0.000 0.000 2.360
Li 0.000 2.360 0.000
Li 2.360 0.000 0.000
Fe 0.000 0.000 0.000
Se 2.360 2.360 2.360
```

---

no.,density (g cm⁻³)
1,7.3
2,4.4
3,3.2
4,6.3
5,4.4
6,2.5